[1]
Entry from the Alexandria database: crystalline TiFeB at its relaxed geometry (PBE-GGA).

Properties
The calculation puts the theoretical density at 6.06 Mg/m³. For the density of states at the Fermi level, the calculation gives 2.6 states/eV/f.u. The calculation puts the formation energy at -0.29 eV per atom. The spin magnetization is 0.000 μB/f.u. Its total energy is -7.97 eV per atom.

Unit cell a=2.7181 b=2.7181 c=8.4924 alpha=90.00 beta=90.00 gamma=90.00
Space group I4mm (No. 107)
Inequivalent atoms, fractional coordinates:
Ti  0.0000  0.0000  0.0000 (multiplicity 2)
Fe  0.0000  0.0000  0.7131 (multiplicity 2)
B  0.0000  0.0000  0.3091 (multiplicity 2)



[2]
Entry from the Alexandria database: crystalline Ce2DyTm3Se6 at its relaxed geometry (PBE-GGA).

Properties
The calculation puts the theoretical density at 8.15 Mg/m³. For the density of states at the Fermi level, the calculation gives 14.1 states/eV/f.u. The spin magnetization is 2.263 μB/f.u. Its total energy is -5.97 eV per atom.

Unit cell a=17.9181 b=4.0449 c=8.2737 alpha=90.00 beta=104.66 gamma=90.00
Space group C2/m (No. 12)
Inequivalent atoms, fractional coordinates:
Ce  0.1676  0.0000  0.3357 (multiplicity 4)
Dy  0.0000  0.5000  0.0000 (multiplicity 2)
Tm  0.0000  0.5000  0.5000 (multiplicity 2)
Tm  0.1679  0.0000  0.8329 (multiplicity 4)
Se  0.0041  0.0000  0.7485 (multiplicity 4)
Se  0.1622  0.5000  0.5932 (multiplicity 4)
Se  0.1671  0.5000  0.0721 (multiplicity 4)



[3]
Entry from the Alexandria database: crystalline ErTm3N4 at its relaxed geometry (PBE-GGA).

Properties
The calculation puts the theoretical density at 10.82 Mg/m³. For the density of states at the Fermi level, the calculation gives 0.3 states/eV/f.u. The spin magnetization is 0.000 μB/f.u. Its total energy is -8.23 eV per atom.

Unit cell a=4.8213 b=4.8213 c=4.8213 alpha=90.00 beta=90.00 gamma=90.00
Space group Pm-3m (No. 221)
Inequivalent atoms, fractional coordinates:
Er  0.0000  0.0000  0.0000 (multiplicity 1)
Tm  0.0000  0.5000  0.5000 (multiplicity 3)
N  0.0000  0.0000  0.5000 (multiplicity 3)
N  0.5000  0.5000  0.5000 (multiplicity 1)



[4]
Entry from the Alexandria database: crystalline MgHPtAu2 at its relaxed geometry (PBE-GGA).

Properties
The calculation puts the theoretical density at 14.14 Mg/m³. For the density of states at the Fermi level, the calculation gives 1.1 states/eV/f.u. The spin magnetization is 0.000 μB/f.u. Its total energy is -3.72 eV per atom.

Unit cell a=4.3891 b=4.3891 c=3.7437 alpha=90.00 beta=90.00 gamma=90.00
Space group P4/mmm (No. 123)
Inequivalent atoms, fractional coordinates:
Mg  0.0000  0.0000  0.0000 (multiplicity 1)
H  0.5000  0.5000  0.5000 (multiplicity 1)
Pt  0.5000  0.5000  0.0000 (multiplicity 1)
Au  0.0000  0.5000  0.5000 (multiplicity 2)



[5]
Entry from the Alexandria database: crystalline Li5Al3Zn3 at its relaxed geometry (PBE-GGA).

Properties
The calculation puts the theoretical density at 2.63 Mg/m³. For the density of states at the Fermi level, the calculation gives 4.3 states/eV/f.u. The calculation puts the formation energy at -0.02 eV per atom. The spin magnetization is 0.000 μB/f.u. Its total energy is -2.25 eV per atom.

Unit cell a=9.1176 b=9.1176 c=2.7331 alpha=90.00 beta=90.00 gamma=120.00
Space group P-62m (No. 189)
Inequivalent atoms, fractional coordinates:
Li  0.0000  0.3363  0.0000 (multiplicity 3)
Li  0.3333  0.6667  0.0000 (multiplicity 2)
Al  0.0000  0.5973  0.5000 (multiplicity 3)
Zn  0.0000  0.8390  0.0000 (multiplicity 3)



[6]
Entry from the Alexandria database: crystalline TbCe2Pr at its relaxed geometry (PBE-GGA).

Properties
The calculation puts the theoretical density at 7.31 Mg/m³. For the density of states at the Fermi level, the calculation gives 17.0 states/eV/f.u. The calculation puts the formation energy at 0.27 eV per atom. The spin magnetization is 3.527 μB/f.u. Its total energy is -5.05 eV per atom.

Unit cell a=8.0787 b=8.0787 c=8.0787 alpha=90.00 beta=90.00 gamma=90.00
Space group Fm-3m (No. 225)
Inequivalent atoms, fractional coordinates:
Tb  0.0000  0.0000  0.0000 (multiplicity 4)
Ce  0.2500  0.2500  0.2500 (multiplicity 8)
Pr  0.0000  0.0000  0.5000 (multiplicity 4)



What did the fourth record say?
Entry from the Alexandria database: crystalline MgHPtAu2 at its relaxed geometry (PBE-GGA).

Properties
The calculation puts the theoretical density at 14.14 Mg/m³. For the density of states at the Fermi level, the calculation gives 1.1 states/eV/f.u. The spin magnetization is 0.000 μB/f.u. Its total energy is -3.72 eV per atom.

Unit cell a=4.3891 b=4.3891 c=3.7437 alpha=90.00 beta=90.00 gamma=90.00
Space group P4/mmm (No. 123)
Inequivalent atoms, fractional coordinates:
Mg  0.0000  0.0000  0.0000 (multiplicity 1)
H  0.5000  0.5000  0.5000 (multiplicity 1)
Pt  0.5000  0.5000  0.0000 (multiplicity 1)
Au  0.0000  0.5000  0.5000 (multiplicity 2)